(1)
{
  "formula": "LaFe2",
  "functional": "PBE",
  "state": "optimized geometry",
  "lattice": [[2.993, 0.000, 0.000], [0.000, 7.489, 0.000], [0.000, 0.000, 5.080]],
  "species": ["La", "La", "Fe", "Fe", "Fe", "Fe"],
  "frac_coords": [[0.000, 0.000, 0.000], [0.500, 0.500, 0.500], [0.235, 0.374, 0.000], [0.265, 0.874, 0.500], [0.735, 0.126, 0.500], [0.765, 0.626, 0.000]],
  "rho_g_cm3": 7.31,
  "total_magnetization_mub_per_fu": 4.3,
  "delta_e_f_ev_per_atom": 0.561
}


(2)
{
  "formula": "LaFe4",
  "functional": "PBE",
  "state": "optimized geometry",
  "lattice": [[1.430, 0.825, 10.941], [-1.430, 0.825, 10.941], [0.000, -1.651, 10.941]],
  "species": ["La", "Fe", "Fe", "Fe", "Fe"],
  "frac_coords": [[0.000, 0.000, 0.000], [0.193, 0.193, 0.193], [0.415, 0.415, 0.415], [0.585, 0.585, 0.585], [0.807, 0.807, 0.807]],
  "rho_g_cm3": 7.77,
  "total_magnetization_mub_per_fu": 0.2,
  "delta_e_f_ev_per_atom": 0.704
}


(3)
{
  "formula": "La2Fe",
  "functional": "PBE",
  "state": "optimized geometry",
  "lattice": [[-1.762, 1.762, 6.842], [1.762, -1.762, 6.842], [1.762, 1.762, -6.842]],
  "species": ["La", "La", "Fe"],
  "frac_coords": [[0.123, 0.123, 0.000], [0.877, 0.877, 0.000], [0.500, 0.500, 0.000]],
  "rho_g_cm3": 6.52,
  "total_magnetization_mub_per_fu": 0.9,
  "delta_e_f_ev_per_atom": 0.167
}


(4)
{
  "formula": "La2Fe",
  "functional": "PBE",
  "state": "optimized geometry",
  "lattice": [[1.853, -7.209, 0.000], [1.853, 7.209, 0.000], [0.000, 0.000, 5.949]],
  "species": ["La", "La", "La", "La", "Fe", "Fe"],
  "frac_coords": [[0.051, 0.949, 0.750], [0.212, 0.788, 0.250], [0.788, 0.212, 0.750], [0.949, 0.051, 0.250], [0.398, 0.602, 0.750], [0.602, 0.398, 0.250]],
  "rho_g_cm3": 6.97,
  "total_magnetization_mub_per_fu": 0.0,
  "delta_e_f_ev_per_atom": 0.204
}